No. 1
# Li2TiPt

Li2TiPt after structural relaxation (PBE, Alexandria via LeMat-Bulk).

Cell and atoms, written as extended XYZ:
```
16
Lattice="6.019 0.000 0.000 0.000 6.019 0.000 0.000 0.000 6.019" Properties=species:S:1:pos:R:3 pbc="T T T"
Li 1.505 1.505 1.505
Li 1.505 1.505 4.514
Li 1.505 4.514 1.505
Li 1.505 4.514 4.514
Li 4.514 1.505 1.505
Li 4.514 1.505 4.514
Li 4.514 4.514 1.505
Li 4.514 4.514 4.514
Ti 0.000 0.000 0.000
Ti 0.000 3.009 3.009
Ti 3.009 0.000 3.009
Ti 3.009 3.009 0.000
Pt 0.000 0.000 3.009
Pt 0.000 3.009 0.000
Pt 3.009 0.000 0.000
Pt 3.009 3.009 3.009
```

Computed properties:
- ΔH_f (0 K) (eV/atom) = -0.1667
- magnetization (μB per formula unit) = 0.000



No. 2
# Li2TiPt

Li2TiPt after structural relaxation (PBE, Alexandria via LeMat-Bulk).

Cell and atoms, written as extended XYZ:
```
16
Lattice="3.654 0.000 0.000 0.000 3.654 0.000 0.000 0.000 19.632" Properties=species:S:1:pos:R:3 pbc="T T T"
Li 0.819 0.914 2.454
Li 0.914 2.646 7.362
Li 0.914 2.835 17.178
Li 1.008 0.914 12.270
Li 2.646 2.741 12.270
Li 2.741 0.819 17.178
Li 2.741 1.008 7.362
Li 2.835 2.741 2.454
Ti 0.000 0.000 9.816
Ti 0.000 1.827 14.724
Ti 1.827 0.000 4.908
Ti 1.827 1.827 0.000
Pt 0.000 0.000 0.000
Pt 0.000 1.827 4.908
Pt 1.827 0.000 14.724
Pt 1.827 1.827 9.816
```

Computed properties:
- ΔH_f (0 K) (eV/atom) = -0.2272
- magnetization (μB per formula unit) = 0.909



No. 3
# LiTiPt4

LiTiPt4 after structural relaxation (PBE, Alexandria via LeMat-Bulk).

Cell and atoms, written as extended XYZ:
```
12
Lattice="8.777 0.000 0.000 0.000 2.820 0.000 -3.804 0.000 7.650" Properties=species:S:1:pos:R:3 pbc="T T T"
Li 0.000 0.000 0.000
Li 4.388 1.410 0.000
Ti -1.902 1.410 3.825
Ti 2.486 0.000 3.825
Pt -0.021 0.000 2.661
Pt -1.886 1.410 6.490
Pt 2.470 0.000 1.161
Pt 0.605 1.410 4.989
Pt 4.368 1.410 2.661
Pt 2.503 0.000 6.490
Pt 6.858 1.410 1.161
Pt 4.993 0.000 4.989
```

Computed properties:
- ΔH_f (0 K) (eV/atom) = -0.5161
- magnetization (μB per formula unit) = 0.000



No. 4
# LiTi2Pt3

LiTi2Pt3 after structural relaxation (PBE, Alexandria via LeMat-Bulk).

Cell and atoms, written as extended XYZ:
```
12
Lattice="-2.028 3.589 6.152 2.028 -3.589 6.152 2.028 3.589 -6.152" Properties=species:S:1:pos:R:3 pbc="T T T"
Li 0.000 1.795 2.068
Li 2.028 1.795 4.085
Ti 2.028 -1.795 4.031
Ti 2.028 1.795 -0.052
Ti 0.000 1.795 6.204
Ti 0.000 5.384 2.121
Pt 0.000 0.000 0.000
Pt 2.028 0.065 2.035
Pt 0.000 0.065 4.117
Pt 0.000 3.589 0.000
Pt 2.028 3.524 2.035
Pt 0.000 3.524 4.117
```

Computed properties:
- ΔH_f (0 K) (eV/atom) = -0.8266
- magnetization (μB per formula unit) = 0.574



No. 5
# LiTiPt6

LiTiPt6 after structural relaxation (PBE, Alexandria via LeMat-Bulk).

Cell and atoms, written as extended XYZ:
```
8
Lattice="3.925 0.000 0.000 0.000 3.925 0.000 0.000 0.000 7.767" Properties=species:S:1:pos:R:3 pbc="T T T"
Li 0.000 0.000 0.000
Ti 0.000 0.000 3.883
Pt 0.000 1.963 1.940
Pt 0.000 1.963 5.827
Pt 1.963 0.000 1.940
Pt 1.963 0.000 5.827
Pt 1.963 1.963 0.000
Pt 1.963 1.963 3.883
```

Computed properties:
- ΔH_f (0 K) (eV/atom) = -0.6702
- magnetization (μB per formula unit) = 0.000



No. 6
# LiTi2Pt9

LiTi2Pt9 after structural relaxation (PBE, Alexandria via LeMat-Bulk).

Cell and atoms, written as extended XYZ:
```
12
Lattice="3.933 0.000 0.000 0.000 3.933 0.000 0.000 0.000 11.720" Properties=species:S:1:pos:R:3 pbc="T T T"
Li 0.000 0.000 0.000
Ti 0.000 0.000 3.808
Ti 0.000 0.000 7.912
Pt 0.000 1.967 1.948
Pt 0.000 1.967 5.860
Pt 0.000 1.967 9.771
Pt 1.967 0.000 1.948
Pt 1.967 0.000 5.860
Pt 1.967 0.000 9.771
Pt 1.967 1.967 0.000
Pt 1.967 1.967 3.908
Pt 1.967 1.967 7.811
```

Computed properties:
- ΔH_f (0 K) (eV/atom) = -0.7506
- magnetization (μB per formula unit) = 0.000



No. 7
# Li2TiPt5

Li2TiPt5 after structural relaxation (PBE, Alexandria via LeMat-Bulk).

Cell and atoms, written as extended XYZ:
```
16
Lattice="4.005 0.000 0.000 0.000 4.005 0.000 0.000 0.000 14.301" Properties=species:S:1:pos:R:3 pbc="T T T"
Li 0.000 0.000 3.563
Li 0.000 0.000 10.738
Li 2.002 2.002 3.588
Li 2.002 2.002 10.714
Ti 0.000 0.000 0.000
Ti 2.002 2.002 7.151
Pt 0.000 0.000 7.151
Pt 0.000 2.002 1.893
Pt 0.000 2.002 5.257
Pt 0.000 2.002 9.044
Pt 0.000 2.002 12.408
Pt 2.002 0.000 1.893
Pt 2.002 0.000 5.257
Pt 2.002 0.000 9.044
Pt 2.002 0.000 12.408
Pt 2.002 2.002 0.000
```

Computed properties:
- ΔH_f (0 K) (eV/atom) = -0.6618
- magnetization (μB per formula unit) = 0.000



No. 8
# LiTiPt3

LiTiPt3 after structural relaxation (PBE, Alexandria via LeMat-Bulk).

Cell and atoms, written as extended XYZ:
```
5
Lattice="4.222 0.000 0.000 0.000 4.222 0.000 0.000 0.000 4.222" Properties=species:S:1:pos:R:3 pbc="T T T"
Li 0.000 0.000 0.000
Ti 2.111 2.111 2.111
Pt 0.000 0.000 2.111
Pt 0.000 2.111 0.000
Pt 2.111 0.000 0.000
```

Computed properties:
- ΔH_f (0 K) (eV/atom) = -0.0130
- magnetization (μB per formula unit) = 0.000



No. 9
# LiTi5Pt6

LiTi5Pt6 after structural relaxation (PBE, Alexandria via LeMat-Bulk).

Cell and atoms, written as extended XYZ:
```
12
Lattice="2.020 -6.024 0.000 2.020 6.024 0.000 0.000 0.000 7.514" Properties=species:S:1:pos:R:3 pbc="T T T"
Li 0.000 0.000 0.000
Ti 0.000 0.000 3.757
Ti 2.020 2.045 3.757
Ti 2.020 1.900 0.000
Ti 2.020 -1.900 0.000
Ti 2.020 -2.045 3.757
Pt 2.020 4.007 1.808
Pt 2.020 4.007 5.706
Pt 2.020 0.000 1.863
Pt 2.020 0.000 5.651
Pt 2.020 -4.007 1.808
Pt 2.020 -4.007 5.706
```

Computed properties:
- ΔH_f (0 K) (eV/atom) = -0.8662
- magnetization (μB per formula unit) = 0.489



No. 10
# LiTi2TlPt

LiTi2TlPt after structural relaxation (PBE, Alexandria via LeMat-Bulk).

Cell and atoms, written as extended XYZ:
```
5
Lattice="4.406 0.000 0.000 0.000 4.406 0.000 0.000 0.000 4.463" Properties=species:S:1:pos:R:3 pbc="T T T"
Li 0.000 0.000 0.000
Ti 0.000 2.203 0.000
Ti 2.203 0.000 0.000
Tl 0.000 0.000 2.232
Pt 2.203 2.203 2.232
```

Computed properties:
- ΔH_f (0 K) (eV/atom) = 0.5738
- magnetization (μB per formula unit) = 0.000



No. 11
# LiTiZn2Pt

LiTiZn2Pt after structural relaxation (PBE, Alexandria via LeMat-Bulk).

Cell and atoms, written as extended XYZ:
```
5
Lattice="4.782 0.000 0.000 0.000 4.782 0.000 0.000 0.000 4.545" Properties=species:S:1:pos:R:3 pbc="T T T"
Li 0.000 0.000 0.000
Ti 0.000 0.000 2.273
Zn 0.000 2.391 2.273
Zn 2.391 0.000 2.273
Pt 2.391 2.391 0.000
```

Computed properties:
- ΔH_f (0 K) (eV/atom) = 1.1568
- magnetization (μB per formula unit) = 2.521



No. 12
# Li2Zr2TiPt5

Li2Zr2TiPt5 after structural relaxation (PBE, Alexandria via LeMat-Bulk).

Cell and atoms, written as extended XYZ:
```
20
Lattice="9.321 0.000 0.000 0.000 9.321 0.000 0.000 0.000 3.593" Properties=species:S:1:pos:R:3 pbc="T T T"
Li 1.136 3.525 0.000
Li 3.525 8.186 0.000
Li 5.797 1.136 0.000
Li 8.186 5.797 0.000
Zr 1.634 6.294 0.000
Zr 3.027 1.634 0.000
Zr 6.294 7.688 0.000
Zr 7.688 3.027 0.000
Ti 0.000 0.000 0.000
Ti 4.661 4.661 0.000
Pt 0.000 4.661 1.796
Pt 0.624 1.909 1.796
Pt 1.909 8.698 1.796
Pt 2.752 4.037 1.796
Pt 4.037 6.570 1.796
Pt 4.661 0.000 1.796
Pt 5.284 2.752 1.796
Pt 6.570 5.284 1.796
Pt 7.412 0.624 1.796
Pt 8.698 7.412 1.796
```

Computed properties:
- ΔH_f (0 K) (eV/atom) = -0.8127
- magnetization (μB per formula unit) = 0.000